# 1
Here is an optimized crystal structure of Ta2VNiBr from the Alexandria database. Energies are from GGA-PBE.

Output
- DOS(E_F) (states/eV/atom) = 1.13
- electronic total energy (eV for the cell shown) = -33.346
- SG = P4/mmm, No. 123
- energy relative to the elements, uncorrected (eV per atom) = 1.39

```
5
Lattice="4.737 0.000 0.000 0.000 4.159 0.000 0.000 0.000 4.737" Properties=species:S:1:pos:R:3 pbc="T T T"
Ni 0.000 2.079 0.000
V 2.369 2.079 2.369
Br 0.000 0.000 0.000
Ta 0.000 0.000 2.369
Ta 2.369 0.000 0.000
```



# 2
Here is an optimized crystal structure of CeErZn from the Alexandria database. Energies are from GGA-PBE.

Output
- DOS(E_F) (states/eV/atom) = 1.94
- electronic total energy (eV for the cell shown) = -24.519
- SG = Cmcm, No. 63
- energy of formation (meV per atom) = -163

```
6
Lattice="3.425 0.000 0.000 0.000 5.081 0.000 -1.712 0.000 8.413" Properties=species:S:1:pos:R:3 pbc="T T T"
Zn 0.000 1.270 7.234
Zn 1.712 3.810 1.179
Er 1.712 3.810 7.101
Er 0.000 1.270 1.311
Ce 1.712 1.270 4.593
Ce 0.000 3.810 3.820
```



# 3
Here is an optimized crystal structure of La4GeI2Br from the Alexandria database. Energies are from GGA-PBE.

Output
- DOS(E_F) (states/eV/atom) = 0.67
- electronic total energy (eV for the cell shown) = -38.088
- SG = P2/m, No. 10
- energy relative to the elements, uncorrected (eV per atom) = -1.12

```
8
Lattice="4.433 0.000 0.000 0.000 7.495 0.068 0.000 -2.690 7.782" Properties=species:S:1:pos:R:3 pbc="T T T"
La 2.216 1.176 1.628
La 2.216 3.629 6.222
La 0.000 -0.192 6.167
La 0.000 4.997 1.682
Ge 0.000 0.000 0.000
I 2.216 -1.345 3.891
I 0.000 2.403 3.925
Br 2.216 3.747 0.034
```



# 4
Here is an optimized crystal structure of BeCd3B from the Alexandria database. Energies are from GGA-PBE.

Output
- DOS(E_F) (states/eV/atom) = 0.53
- electronic total energy (eV for the cell shown) = -8.955
- SG = Pm-3m, No. 221
- energy of formation (meV per atom) = 839

```
5
Lattice="-0.787 4.468 0.696 -3.270 -1.051 3.044 3.122 0.027 3.364" Properties=species:S:1:pos:R:3 pbc="T T T"
Be -0.468 1.722 3.552
B 0.000 0.000 0.000
Cd -1.635 -0.525 1.522
Cd 1.561 0.013 1.682
Cd -0.394 2.234 0.348
```



# 5
Here is an optimized crystal structure of Tc3HgMo from the Alexandria database. Energies are from GGA-PBE.

Output
- DOS(E_F) (states/eV/atom) = 2.14
- electronic total energy (eV for the cell shown) = -27.526
- SG = Pm-3m, No. 221
- energy of formation (meV per atom) = 2941

```
5
Lattice="-3.327 0.812 -3.341 -2.011 -4.231 0.975 -2.789 2.082 3.283" Properties=species:S:1:pos:R:3 pbc="T T T"
Mo -4.064 -0.669 0.458
Hg 0.000 0.000 0.000
Tc -1.005 -2.115 0.487
Tc -1.394 1.041 1.642
Tc -1.664 0.406 -1.671
```



# 6
Here is an optimized crystal structure of LuScRu from the Alexandria database. Energies are from GGA-PBE.

Output
- DOS(E_F) (states/eV/atom) = 0.17
- electronic total energy (eV for the cell shown) = -21.182
- SG = F-43m, No. 216
- energy of formation (meV per atom) = -351

```
3
Lattice="-3.931 1.032 -2.119 -2.477 -3.313 -1.975 -3.999 -1.278 1.839" Properties=species:S:1:pos:R:3 pbc="T T T"
Sc -5.204 -1.780 -1.128
Ru -2.602 -0.890 -0.564
Lu 0.000 0.000 0.000
```



# 7
Here is an optimized crystal structure of Rb2GeIrF6 from the Alexandria database. Energies are from GGA-PBE.

Output
- DOS(E_F) (states/eV/atom) = 0.11
- electronic total energy (eV for the cell shown) = -45.497
- SG = I4/mmm, No. 139
- energy relative to the elements, uncorrected (eV per atom) = -1.89

```
10
Lattice="-5.617 2.329 1.617 -2.017 -5.804 1.353 -2.442 -1.262 5.577" Properties=species:S:1:pos:R:3 pbc="T T T"
Ge -3.817 -1.738 1.485
Ir 0.000 0.000 0.000
Rb -5.938 -0.336 4.340
Rb -4.138 -4.402 4.208
F -3.105 -1.491 3.604
F -6.971 -3.246 4.944
F -1.934 -0.881 0.753
F -5.700 -2.595 2.218
F -4.705 0.268 1.550
F -2.929 -3.744 1.420
```



# 8
Here is an optimized crystal structure of K2LiCa from the Alexandria database. Energies are from GGA-PBE.

Output
- DOS(E_F) (states/eV/atom) = 0.82
- electronic total energy (eV for the cell shown) = -5.277
- SG = P2/m, No. 10
- energy of formation (meV per atom) = 208

```
4
Lattice="-1.471 1.744 -6.205 0.910 -3.697 -1.254 -6.669 -3.565 0.579" Properties=species:S:1:pos:R:3 pbc="T T T"
Ca -5.055 -4.574 -3.609
K -0.020 -0.255 -0.067
K -2.859 -3.376 -0.271
Li -2.175 -0.944 -3.271
```



# 9
Here is an optimized crystal structure of SiTcPt2 from the Alexandria database. Energies are from GGA-PBE.

Output
- DOS(E_F) (states/eV/atom) = 0.79
- electronic total energy (eV for the cell shown) = -29.210
- SG = Pm, No. 6
- energy relative to the elements, uncorrected (eV per atom) = -0.33

```
4
Lattice="-3.106 0.867 -2.145 0.403 -2.323 -1.522 -2.941 -3.957 2.660" Properties=species:S:1:pos:R:3 pbc="T T T"
Pt -2.877 -4.064 2.523
Pt -2.148 -1.602 -1.034
Si -1.457 -2.811 0.974
Tc -3.373 -4.032 -0.242
```



# 10
Here is an optimized crystal structure of CoTcPd from the Alexandria database. Energies are from GGA-PBE.

Output
- DOS(E_F) (states/eV/atom) = 1.21
- electronic total energy (eV for the cell shown) = -22.300
- SG = P3m1, No. 156
- energy of formation (meV per atom) = 121

```
3
Lattice="2.699 0.000 0.000 -1.349 2.337 0.000 0.000 0.000 6.509" Properties=species:S:1:pos:R:3 pbc="T T T"
Co 1.349 0.779 2.236
Tc 0.000 1.558 4.227
Pd 0.000 0.000 0.046
```



# 11
Here is an optimized crystal structure of Fe2AsAu from the Alexandria database. Energies are from GGA-PBE.

Output
- DOS(E_F) (states/eV/atom) = 0.87
- electronic total energy (eV for the cell shown) = -23.940
- SG = Imm2, No. 44
- energy of formation (meV per atom) = 228

```
4
Lattice="5.166 0.005 0.004 2.387 4.582 -0.004 -3.307 -3.066 2.520" Properties=species:S:1:pos:R:3 pbc="T T T"
As 3.938 2.391 0.000
Au 1.441 1.912 1.258
Fe 7.378 4.481 0.000
Fe 2.818 -0.384 1.262
```



# 12
Here is an optimized crystal structure of Rb2HBr from the Alexandria database. Energies are from GGA-PBE.

Output
- DOS(E_F) (states/eV/atom) = 0.00
- electronic total energy (eV for the cell shown) = -21.095
- SG = I-42d, No. 122

```
8
Lattice="-2.638 -4.225 6.382 5.971 -5.359 -1.081 4.420 -2.288 5.446" Properties=species:S:1:pos:R:3 pbc="T T T"
H 1.666 -4.792 2.651
H 6.028 -6.220 3.508
Br 0.000 0.000 0.000
Br 1.724 -5.653 7.239
Rb 0.355 -3.639 4.846
Rb 4.354 -4.694 1.853
Rb 4.910 -5.620 6.010
Rb 5.886 -9.793 8.786
```